# Sm2Zn2Ni15 | the Alexandria database | PBE-GGA | relaxed
# E_form   -0.22 eV per atom
# V   13.044 Å³/atom
# DOS at the Fermi energy   70.424 states/eV per cell
# Electronic total energy   -5.418 eV/atom
data_Sm2Zn2Ni15
_chemical_formula_sum 'Sm6 Zn6 Ni45'
_cell_length_a 8.3712
_cell_length_b 8.3712
_cell_length_c 12.2507
_cell_angle_alpha 90.00
_cell_angle_beta 90.00
_cell_angle_gamma 120.00
_symmetry_space_group_name_H-M 'R -3 m'
_symmetry_Int_Tables_number 166
_symmetry_space_group_name_Hall '-R 3 2"'
loop_
_atom_site_label
_atom_site_fract_x
_atom_site_fract_y
_atom_site_fract_z
Sm1 0.0000 0.0000 0.1537
Zn1 0.0000 0.0000 0.4006
Ni1 0.0000 0.2963 0.5000
Ni2 0.0000 0.5000 0.0000
Ni3 0.0016 0.5008 0.3448

# Sm2Zn5Ni5 | the Alexandria database | PBE-GGA | relaxed
# E_form   -0.34 eV per atom
# V   15.550 Å³/atom
# DOS at the Fermi energy   8.864 states/eV per cell
# Electronic total energy   -4.064 eV/atom
data_Sm2Zn5Ni5
_chemical_formula_sum 'Sm2 Zn5 Ni5'
_cell_length_a 3.999
_cell_length_b 5.189
_cell_length_c 8.992
_cell_angle_alpha 90.00
_cell_angle_beta 90.00
_cell_angle_gamma 90.00
_symmetry_space_group_name_H-M 'P m m m'
_symmetry_Int_Tables_number 47
loop_
_symmetry_equiv_pos_as_xyz
'x,y,z'
'-x,-y,-z'
'-x,-y,z'
'x,y,-z'
'x,-y,-z'
'-x,y,z'
'-x,y,-z'
'x,-y,z'
loop_
_atom_site_label
_atom_site_fract_x
_atom_site_fract_y
_atom_site_fract_z
Sm1 0.000 0.000 0.000
Sm2 0.000 0.500 0.500
Zn1 0.000 0.000 0.325
Zn2 0.000 0.500 0.167
Zn3 0.500 0.000 0.500
Ni1 0.500 0.251 0.247
Ni2 0.500 0.500 0.000

# SmZn2Ni4 | the Alexandria database | PBE-GGA | relaxed
# E_form   -0.27 eV per atom
# V   14.209 Å³/atom
# DOS at the Fermi energy   10.750 states/eV per cell
# Electronic total energy   -4.610 eV/atom
data_SmZn2Ni4
_chemical_formula_sum 'Sm2 Zn4 Ni8'
_cell_length_a 5.022
_cell_length_b 6.282
_cell_length_c 6.305
_cell_angle_alpha 90.00
_cell_angle_beta 90.00
_cell_angle_gamma 90.00
_symmetry_space_group_name_H-M 'I m m m'
_symmetry_Int_Tables_number 71
_symmetry_space_group_name_Hall '-I 2 2'
loop_
_atom_site_label
_atom_site_fract_x
_atom_site_fract_y
_atom_site_fract_z
Sm1 0.000 0.000 0.000
Zn1 0.250 0.000 0.500
Ni1 0.000 0.308 0.309

# Sm4Zn3Ni | the Alexandria database | PBE-GGA | relaxed
# E_form   -0.31 eV per atom
# V   23.244 Å³/atom
# DOS at the Fermi energy   6.269 states/eV per cell
# Electronic total energy   -3.874 eV/atom
data_Sm4Zn3Ni
_chemical_formula_sum 'Sm4 Zn3 Ni1'
_cell_length_a 3.596
_cell_length_b 3.596
_cell_length_c 14.378
_cell_angle_alpha 90.00
_cell_angle_beta 90.00
_cell_angle_gamma 90.00
_symmetry_space_group_name_H-M 'P 4/m m m'
_symmetry_Int_Tables_number 123
_symmetry_space_group_name_Hall '-P 4 2'
loop_
_atom_site_label
_atom_site_fract_x
_atom_site_fract_y
_atom_site_fract_z
Sm1 0.000 0.000 0.115
Sm2 0.000 0.000 0.372
Zn1 0.500 0.500 0.246
Zn2 0.500 0.500 0.500
Ni1 0.500 0.500 0.000

# SmZnNi | the Alexandria database | PBE-GGA | relaxed
# E_form   -0.40 eV per atom
# V   19.009 Å³/atom
# DOS at the Fermi energy   11.251 states/eV per cell
# Electronic total energy   -4.324 eV/atom
data_SmZnNi
_chemical_formula_sum 'Sm6 Zn6 Ni6'
_cell_length_a 12.487
_cell_length_b 3.857
_cell_length_c 7.105
_cell_angle_alpha 90.00
_cell_angle_beta 90.00
_cell_angle_gamma 90.00
_symmetry_space_group_name_H-M 'P m m a'
_symmetry_Int_Tables_number 51
loop_
_symmetry_equiv_pos_as_xyz
'x,y,z'
'-x,-y,-z'
'-x+1/2,-y,z'
'x+1/2,y,-z'
'x+1/2,-y,-z'
'-x+1/2,y,z'
'-x,y,-z'
'x,-y,z'
loop_
_atom_site_label
_atom_site_fract_x
_atom_site_fract_y
_atom_site_fract_z
Sm1 0.043 0.000 0.246
Sm2 0.250 0.000 0.629
Zn1 0.136 0.500 0.921
Zn2 0.250 0.500 0.283
Ni1 0.092 0.500 0.549
Ni2 0.250 0.000 0.050

# Sm3Zn3Ni2 | the Alexandria database | PBE-GGA | relaxed
# E_form   -0.36 eV per atom
# V   20.395 Å³/atom
# DOS at the Fermi energy   26.008 states/eV per cell
# Electronic total energy   -4.055 eV/atom
data_Sm3Zn3Ni2
_chemical_formula_sum 'Sm12 Zn12 Ni8'
_cell_length_a 7.604
_cell_length_b 15.654
_cell_length_c 5.483
_cell_angle_alpha 90.00
_cell_angle_beta 90.00
_cell_angle_gamma 90.00
_symmetry_space_group_name_H-M 'P n m a'
_symmetry_Int_Tables_number 62
loop_
_symmetry_equiv_pos_as_xyz
'x,y,z'
'-x,-y,-z'
'-x+1/2,-y,z+1/2'
'x+1/2,y,-z+1/2'
'x+1/2,-y+1/2,-z+1/2'
'-x+1/2,y+1/2,z+1/2'
'-x,y+1/2,-z'
'x,-y+1/2,z'
loop_
_atom_site_label
_atom_site_fract_x
_atom_site_fract_y
_atom_site_fract_z
Sm1 0.036 0.106 0.116
Sm2 0.164 0.250 0.630
Zn1 0.173 0.035 0.601
Zn2 0.178 0.750 0.623
Ni1 0.119 0.612 0.379